# TbPrDy6 | Alexandria via LeMat-Bulk | PBE | optimized geometry
# **V**: 32.0 A^3/atom
# **ΔE to the lowest computed polymorph**: 0.00 eV per formula unit
# **Formation energy**: 0.02 eV per atom
data_TbPrDy6
_symmetry_space_group_name_H-M 'P 4/m m m'
_symmetry_Int_Tables_number 123
_symmetry_space_group_name_Hall '-P 4 2'
_cell_length_a 5.0439
_cell_length_b 5.0439
_cell_length_c 10.0765
_cell_angle_alpha 90.00
_cell_angle_beta 90.00
_cell_angle_gamma 90.00
loop_
_atom_site_label
_atom_site_type_symbol
_atom_site_fract_x
_atom_site_fract_y
_atom_site_fract_z
_atom_site_occupancy
Tb1 Tb 0.0000 0.0000 0.0000 1
Pr1 Pr 0.0000 0.0000 0.5000 1
Dy1 Dy 0.0000 0.5000 0.2474 1
Dy2 Dy 0.5000 0.5000 0.0000 1
Dy3 Dy 0.5000 0.5000 0.5000 1

---

# PbSe2N | Alexandria via LeMat-Bulk | PBE | optimized geometry
# **V**: 21.3 A^3/atom
# **ΔE_f (raw)**: 93.2 kJ/mol of atoms
# **ΔE to the lowest computed polymorph**: 1.42 eV per formula unit
data_PbSe2N
_symmetry_space_group_name_H-M 'R -3 m'
_symmetry_Int_Tables_number 166
_symmetry_space_group_name_Hall '-R 3 2"'
_cell_length_a 3.3330
_cell_length_b 3.3330
_cell_length_c 26.6264
_cell_angle_alpha 90.00
_cell_angle_beta 90.00
_cell_angle_gamma 120.00
loop_
_atom_site_label
_atom_site_type_symbol
_atom_site_fract_x
_atom_site_fract_y
_atom_site_fract_z
_atom_site_occupancy
Pb1 Pb 0.0000 0.0000 0.0000 1
Se1 Se 0.0000 0.0000 0.1149 1
N1 N 0.0000 0.0000 0.5000 1

---

For each record above, in turn, the calculated DFT total energy values are -36.8, -45.4 eV per cell.